[1]
DFT (PBE-GGA) results for crystalline BaLaSi2 at its relaxed geometry.

The structure in CIF format:
```
data_BaLaSi2
_cell_length_a 4.9424
_cell_length_b 4.9424
_cell_length_c 18.2621
_cell_angle_alpha 90.00
_cell_angle_beta 90.00
_cell_angle_gamma 120.00
_symmetry_space_group_name_H-M 'R -3 m'
_symmetry_Int_Tables_number 166
_symmetry_space_group_name_Hall '-R 3 2"'
loop_
_atom_site_label
_atom_site_fract_x
_atom_site_fract_y
_atom_site_fract_z
Ba1 0.0000 0.0000 0.0000
La1 0.0000 0.0000 0.5000
Si1 0.0000 0.0000 0.2219
```

## Properties
Magnetization, Bohr magnetons per cell: 0.001
Energy above the lowest structure with this stoichiometry, kJ per mole of atoms: 43.4
Formation energy without anion corrections, meV per atom: -148

[2]
DFT (PBE-GGA) results for crystalline BaLa2Si2 at its relaxed geometry.

The structure in CIF format:
```
data_BaLa2Si2
_cell_length_a 4.8959
_cell_length_b 4.8959
_cell_length_c 12.8742
_cell_angle_alpha 90.00
_cell_angle_beta 90.00
_cell_angle_gamma 90.00
_symmetry_space_group_name_H-M 'I 4/m m m'
_symmetry_Int_Tables_number 139
_symmetry_space_group_name_Hall '-I 4 2'
loop_
_atom_site_label
_atom_site_fract_x
_atom_site_fract_y
_atom_site_fract_z
Ba1 0.0000 0.0000 0.0000
La1 0.0000 0.5000 0.2500
Si1 0.0000 0.0000 0.4053
```

## Properties
Magnetization, Bohr magnetons per cell: 0.000
Energy above the lowest structure with this stoichiometry, kJ per mole of atoms: 4.1
Formation energy without anion corrections, meV per atom: -369

[3]
DFT (PBE-GGA) results for crystalline BaLaSi2 at its relaxed geometry.

The structure in CIF format:
```
data_BaLaSi2
_cell_length_a 5.1000
_cell_length_b 5.1000
_cell_length_c 8.5667
_cell_angle_alpha 90.00
_cell_angle_beta 90.00
_cell_angle_gamma 90.00
_symmetry_space_group_name_H-M 'I 4/m m m'
_symmetry_Int_Tables_number 139
_symmetry_space_group_name_Hall '-I 4 2'
loop_
_atom_site_label
_atom_site_fract_x
_atom_site_fract_y
_atom_site_fract_z
Ba1 0.0000 0.0000 0.0000
La1 0.0000 0.0000 0.5000
Si1 0.0000 0.5000 0.2500
```

## Properties
Magnetization, Bohr magnetons per cell: 0.000
Energy above the lowest structure with this stoichiometry, kJ per mole of atoms: 39.7
Formation energy without anion corrections, meV per atom: -186

[4]
DFT (PBE-GGA) results for crystalline BaLaSi3 at its relaxed geometry.

The structure in CIF format:
```
data_BaLaSi3
_cell_length_a 5.5563
_cell_length_b 5.5563
_cell_length_c 5.5563
_cell_angle_alpha 90.00
_cell_angle_beta 90.00
_cell_angle_gamma 90.00
_symmetry_space_group_name_H-M 'P m -3 m'
_symmetry_Int_Tables_number 221
_symmetry_space_group_name_Hall '-P 4 2 3'
loop_
_atom_site_label
_atom_site_fract_x
_atom_site_fract_y
_atom_site_fract_z
Ba1 0.0000 0.0000 0.0000
La1 0.5000 0.5000 0.5000
Si1 0.0000 0.5000 0.5000
```

## Properties
Magnetization, Bohr magnetons per cell: 0.000
Energy above the lowest structure with this stoichiometry, kJ per mole of atoms: 80.3
Formation energy without anion corrections, meV per atom: 442

[5]
DFT (PBE-GGA) results for crystalline BaLa4Si at its relaxed geometry.

The structure in CIF format:
```
data_BaLa4Si
_cell_length_a 9.4578
_cell_length_b 9.4578
_cell_length_c 9.4578
_cell_angle_alpha 90.00
_cell_angle_beta 90.00
_cell_angle_gamma 90.00
_symmetry_space_group_name_H-M 'F -4 3 m'
_symmetry_Int_Tables_number 216
_symmetry_space_group_name_Hall 'F -4 2 3'
loop_
_atom_site_label
_atom_site_fract_x
_atom_site_fract_y
_atom_site_fract_z
Ba1 0.0000 0.0000 0.0000
La1 0.1216 0.1216 0.6216
Si1 0.2500 0.2500 0.2500
```

## Properties
Magnetization, Bohr magnetons per cell: 0.001
Formation energy without anion corrections, meV per atom: 381

[6]
DFT (PBE-GGA) results for crystalline BaLaSi4 at its relaxed geometry.

The structure in CIF format:
```
data_BaLaSi4
_cell_length_a 7.8721
_cell_length_b 16.0373
_cell_length_c 4.7432
_cell_angle_alpha 90.00
_cell_angle_beta 90.00
_cell_angle_gamma 90.00
_symmetry_space_group_name_H-M 'P b a m'
_symmetry_Int_Tables_number 55
loop_
_symmetry_equiv_pos_as_xyz
'x,y,z'
'-x,-y,-z'
'-x,-y,z'
'x,y,-z'
'x+1/2,-y+1/2,-z'
'-x+1/2,y+1/2,z'
'-x+1/2,y+1/2,-z'
'x+1/2,-y+1/2,z'
loop_
_atom_site_label
_atom_site_fract_x
_atom_site_fract_y
_atom_site_fract_z
Ba1 0.1260 0.1543 0.0000
La1 0.1329 0.4121 0.0000
Si1 0.0224 0.6927 0.5000
Si2 0.1243 0.5445 0.5000
Si3 0.1236 0.9544 0.5000
Si4 0.2158 0.8065 0.5000
```

## Properties
Magnetization, Bohr magnetons per cell: 0.000
Energy above the lowest structure with this stoichiometry, kJ per mole of atoms: 0.0
Formation energy without anion corrections, meV per atom: -385

[7]
DFT (PBE-GGA) results for crystalline BaLaSi2 at its relaxed geometry.

The structure in CIF format:
```
data_BaLaSi2
_cell_length_a 4.6460
_cell_length_b 14.9243
_cell_length_c 6.7543
_cell_angle_alpha 90.00
_cell_angle_beta 90.00
_cell_angle_gamma 90.00
_symmetry_space_group_name_H-M 'C m c m'
_symmetry_Int_Tables_number 63
_symmetry_space_group_name_Hall '-C 2c 2'
loop_
_atom_site_label
_atom_site_fract_x
_atom_site_fract_y
_atom_site_fract_z
Ba1 0.0000 0.2215 0.2500
La1 0.0000 0.0473 0.7500
Si1 0.0000 0.4238 0.5673
```

## Properties
Magnetization, Bohr magnetons per cell: 1.850
Energy above the lowest structure with this stoichiometry, kJ per mole of atoms: 0.0
Formation energy without anion corrections, meV per atom: -597

[8]
DFT (PBE-GGA) results for crystalline BaLaSi2 at its relaxed geometry.

The structure in CIF format:
```
data_BaLaSi2
_cell_length_a 4.4975
_cell_length_b 4.4975
_cell_length_c 6.5354
_cell_angle_alpha 90.00
_cell_angle_beta 90.00
_cell_angle_gamma 90.00
_symmetry_space_group_name_H-M 'P 4 m m'
_symmetry_Int_Tables_number 99
loop_
_symmetry_equiv_pos_as_xyz
'x,y,z'
'-y,x,z'
'-x,-y,z'
'y,-x,z'
'-x,y,z'
'y,x,z'
'x,-y,z'
'-y,-x,z'
loop_
_atom_site_label
_atom_site_fract_x
_atom_site_fract_y
_atom_site_fract_z
Ba1 0.0000 0.0000 0.0000
La1 0.5000 0.5000 0.4695
Si1 0.0000 0.0000 0.5089
Si2 0.5000 0.5000 0.9378
```

## Properties
Magnetization, Bohr magnetons per cell: 0.005
Energy above the lowest structure with this stoichiometry, kJ per mole of atoms: 60.3
Formation energy without anion corrections, meV per atom: 28

For the records above, the corresponding total DFT energy (no corrections) values read -4.57; -4.89; -4.61; -4.18; -4.13; -5.14; -5.02; -4.40 eV per atom.